Crystalline Cs2NdSn2Se4 at its relaxed geometry. Source: the Alexandria database, functional PBE.

Geometry as extended XYZ:
```
9
Lattice="4.224 0.000 0.000 -2.112 9.550 -0.296 0.000 -3.664 8.155" Properties=species:S:1:pos:R:3 pbc="T T T"
Sn 2.112 3.511 -0.035
Sn 0.000 2.375 7.894
Cs 0.000 0.344 4.481
Cs 2.112 5.542 3.378
Se 2.112 -2.454 6.416
Se 0.000 8.340 1.443
Se 0.000 2.530 1.586
Se 2.112 3.355 6.273
Nd 0.000 0.000 0.000
```

Properties
Space-group type: C2/m (12)

=====

Crystalline TlOs2Br at its relaxed geometry. Source: the Alexandria database, functional PBE.

Geometry as extended XYZ:
```
4
Lattice="-0.028 -4.700 0.173 1.469 -2.499 -3.704 4.056 -2.369 0.221" Properties=species:S:1:pos:R:3 pbc="T T T"
Tl 4.123 -7.176 -2.482
Os 1.374 -2.392 -0.827
Os 0.000 0.000 0.000
Br 2.748 -4.784 -1.655
```

Properties
Energy above the most stable polymorph in this dataset (meV/atom): 1036
Space-group type: F-43m (216)

=====

Number 1: formation energy without anion corrections -100 kJ/mol of atoms, calculated total energy -4.197 eV/atom. Number 2: formation energy without anion corrections 152 kJ/mol of atoms, calculated total energy -5.047 eV/atom.